[1]
Here is a relaxed structure of Zr2Ni from OQMD. Energies are from PBE.

```
6
Lattice="1.639 -2.324 4.575 2.794 -4.602 -0.167 3.833 2.334 -0.188" Properties=species:S:1:pos:R:3 pbc="T T T"
Zr 4.247 -2.564 1.100
Zr 2.792 -0.257 0.078
Zr 3.144 -0.603 2.948
Zr 2.956 -4.617 2.938
Ni 1.478 -2.309 1.469
Ni 0.000 0.000 0.000
```

Properties
Its total energy is -45.4 eV/cell. As for the symmetry: P-62m, No. 189.

---

[2]
Here is a relaxed structure of Zr3Ni2 from OQMD. Energies are from PBE.

```
10
Lattice="-3.354 1.495 -6.372 4.169 -5.032 -3.375 -2.269 -2.316 0.651" Properties=species:S:1:pos:R:3 pbc="T T T"
Zr 0.407 -1.769 -4.874
Zr -0.307 -2.584 -1.863
Zr -2.675 -1.002 -4.489
Zr 1.221 -4.852 -4.607
Zr 0.000 0.000 0.000
Zr -1.147 -3.270 -7.233
Ni 2.185 -2.954 -2.895
Ni -0.745 -0.061 -2.815
Ni -1.371 -0.583 -6.852
Ni 1.560 -3.476 -6.932
```

Properties
As for the symmetry: P4/mbm, No. 127. The value obtained for the energy above the most stable polymorph in this dataset is 0.0 meV/atom.

---

[3]
Here is a relaxed structure of ZrNi2 from OQMD. Energies are from PBE.

```
12
Lattice="-2.076 4.020 -3.671 -3.114 -1.644 -0.040 -2.645 4.845 6.802" Properties=species:S:1:pos:R:3 pbc="T T T"
Zr -4.663 3.081 3.858
Zr -5.980 5.602 2.740
Zr -1.855 1.619 0.351
Zr -3.172 4.140 -0.767
Ni -2.594 3.101 -3.072
Ni -4.060 5.692 4.575
Ni -5.241 4.119 6.163
Ni -4.278 6.201 0.632
Ni -3.557 1.019 2.459
Ni -2.810 3.388 1.988
Ni -5.025 3.832 1.103
Ni -3.775 1.528 -1.484
```

Properties
Its total energy is -81.0 eV/cell. As for the symmetry: Pnma, No. 62.

---

[4]
Here is a relaxed structure of NpPaOs from OQMD. Energies are from PBE.

```
3
Lattice="0.000 3.349 3.349 3.349 0.000 3.349 3.349 3.349 0.000" Properties=species:S:1:pos:R:3 pbc="T T T"
Os 0.000 0.000 0.000
Np 1.675 1.675 1.675
Pa 5.024 5.024 5.024
```

Properties
As for the symmetry: F-43m, No. 216. The value obtained for the energy above the most stable polymorph in this dataset is 0.0 meV/atom.